VASP calculation (GGA-PBE) on a geometry-optimized TbMg5Hg6 structure.

```
TbMg5Hg6
1.0
-1.8309 -3.2161 -3.2134
0.3627 -5.2986 5.0965
-5.9030 3.2815 3.8315
Mg Tb Hg
5 1 6
Cartesian
-3.0283 -3.6970 1.6872
0.1813 -2.6493 2.5483
-4.5316 1.1145 1.4810
-4.3430 -1.5361 4.0275
-2.8397 -6.3476 4.2337
0.0000 0.0000 0.0000
-5.3162 -1.8302 1.1428
-6.7223 0.2686 3.5761
-2.0551 -3.4030 4.5718
-0.6490 -5.5018 2.1385
-2.2358 -0.7632 2.0328
-5.1355 -4.4699 3.6818
```

Calculated values
DOS(E_F) ... 4.490 states/eV per cell
Formation enthalpy at 0 K ... -0.286 eV/atom
E_tot ... -1.488 eV/atom

=====

VASP calculation (GGA-PBE) on a geometry-optimized Tb2MgHg3 structure.

```
Tb2MgHg3
1.0
-1.9296 -2.5889 -3.9837
4.5590 2.3116 -0.4100
5.7790 -10.6647 4.1317
Hg Mg Tb
6 2 4
Cartesian
7.6895 -9.0904 2.1832
4.3066 -7.9474 3.0790
0.7189 -1.8516 -2.4453
4.8236 -3.8018 0.1343
3.5847 -7.1403 -0.3964
1.4724 -2.7172 1.0527
6.2247 -6.3874 1.1360
2.1836 -4.5547 -1.3981
4.9781 -9.7116 0.5998
0.0000 0.0000 0.0000
3.4303 -1.2304 -0.8619
2.8895 -5.3323 2.0658
```

Calculated values
Energy relative to the lowest polymorph listed for this composition ... 0 meV/atom
DOS(E_F) ... 7.620 states/eV per cell
Formation enthalpy at 0 K ... -0.466 eV/atom
E_tot ... -2.426 eV/atom

=====

VASP calculation (GGA-PBE) on a geometry-optimized Tb6MgHg structure.

```
Tb6MgHg
1.0
4.8595 0.0002 1.4631
-0.4410 4.8392 1.4637
-0.2936 -0.3224 9.7752
Tb Hg Mg
6 1 1
Cartesian
2.7077 0.3041 8.6079
4.0669 1.7934 4.0937
0.9503 1.0403 5.6451
0.0580 2.7236 8.6083
1.4172 4.2129 4.0941
3.1746 3.4767 7.0569
2.2092 2.4197 1.4634
0.0000 0.0000 0.0000
```

Calculated values
DOS(E_F) ... 8.371 states/eV per cell
Formation enthalpy at 0 K ... -0.127 eV/atom
E_tot ... -3.837 eV/atom

=====

VASP calculation (GGA-PBE) on a geometry-optimized Tb2Mg3Hg2 structure.

```
Tb2Mg3Hg2
1.0
-2.8057 0.0518 -3.5735
5.5318 -1.3533 -1.4743
-2.2446 -6.7314 1.6647
Tb Hg Mg
2 2 3
Cartesian
1.6958 -5.3679 -1.4093
-1.2143 -2.6650 -1.9738
-0.6299 -4.7084 0.4263
1.1114 -3.3245 -3.8094
2.2669 -1.6763 -1.8042
0.0000 0.0000 0.0000
-1.7855 -6.3566 -1.5789
```

Calculated values
DOS(E_F) ... 5.315 states/eV per cell
Formation enthalpy at 0 K ... -0.248 eV/atom
E_tot ... -2.340 eV/atom

=====

VASP calculation (GGA-PBE) on a geometry-optimized TbMg2Hg2 structure.

```
TbMg2Hg2
1.0
3.6309 0.0000 0.0000
0.0000 4.9858 0.2654
0.0000 -0.7009 13.0546
Mg Tb Hg
4 2 4
Cartesian
2.7232 1.1465 1.8464
0.9077 0.8804 6.8969
0.9077 3.1384 11.4736
2.7232 3.4045 6.4230
0.9077 3.5571 3.5251
2.7232 0.7279 9.7949
0.9077 3.2857 8.7035
2.7232 3.7024 0.8205
0.9077 0.5826 12.4994
2.7232 0.9992 4.6165
```

Calculated values
DOS(E_F) ... 4.483 states/eV per cell
Formation enthalpy at 0 K ... -0.297 eV/atom
E_tot ... -1.981 eV/atom

=====

VASP calculation (GGA-PBE) on a geometry-optimized Tb3Mg2Hg3 structure.

```
Tb3Mg2Hg3
1.0
-1.8549 2.7181 4.8796
0.7730 -7.6104 4.5331
6.8909 5.5975 -0.4986
Hg Mg Tb
6 4 6
Cartesian
4.1678 -0.5369 3.6581
-0.9240 -2.5606 6.3991
1.6413 1.2421 5.2560
2.2628 2.8943 1.0226
2.7732 5.4213 3.3584
-0.1578 -2.3317 3.0135
4.8516 1.1949 1.1787
1.8849 -1.8487 5.2957
2.8123 -3.2078 2.8559
3.9242 2.5539 3.6184
4.3380 0.5338 6.6756
0.1142 -5.0096 4.6086
1.4711 0.1713 2.2384
4.6875 4.8639 0.8472
0.3485 3.4517 3.5338
-1.1960 0.1172 4.8041
```

Calculated values
Energy relative to the lowest polymorph listed for this composition ... 0 meV/atom
DOS(E_F) ... 14.758 states/eV per cell
Formation enthalpy at 0 K ... -0.385 eV/atom
E_tot ... -2.633 eV/atom

=====

Which formula does entry 4 have?
Tb2Mg3Hg2